*A*
A relaxed structure of TlPt2Rh2, computed with PBEsol.

The structure belongs to space group I4/mmm (No. 139); the cell edges are 3.697, 3.697 and 12.508 Å and the angles 90.00°, 90.00° and 90.00°. The asymmetric unit holds Tl at (0.000, 0.000, 0.000), Pt at (0.000, 0.500, 0.250) and Rh at (0.000, 0.000, 0.402).

The calculation puts the total magnetization at 0.0 μB per formula unit.

---

*B*
A relaxed structure of TlPt2Rh2, computed with PBEsol.

The structure belongs to space group I4/mmm (No. 139); the cell edges are 3.617, 3.617 and 13.074 Å and the angles 90.00°, 90.00° and 90.00°. The asymmetric unit holds Tl at (0.000, 0.000, 0.000), Pt at (0.000, 0.000, 0.398) and Rh at (0.000, 0.500, 0.250).

The calculation puts the total magnetization at 1.5 μB per formula unit.

---

Relative calculated energies, zero for the most stable structure, unit meV per atom: *A* 0; *B* 44.

---

*A*
A relaxed structure of TlPtRh2, computed with PBEsol.

The structure belongs to space group Cm (No. 8); the cell edges are 9.154, 2.899 and 4.811 Å and the angles 90.00°, 100.46° and 90.00°. The asymmetric unit holds Tl at (0.000, 0.000, 0.000), Pt at (0.245, 0.000, 0.729), Rh at (0.252, 0.500, 0.264) and Rh at (0.496, 0.000, 0.493).

The calculation puts the total magnetization at 0.0 μB per formula unit.

---

*B*
A relaxed structure of TlPtRh2, computed with PBEsol.

The structure belongs to space group P2/m (No. 10); the cell edges are 2.822, 4.669 and 4.839 Å and the angles 90.00°, 90.67° and 90.00°. The asymmetric unit holds Tl at (0.000, 0.000, 0.000), Pt at (0.500, 0.000, 0.500) and Rh at (0.259, 0.500, 0.736).

The calculation puts the total magnetization at 0.0 μB per formula unit.

---

*C*
A relaxed structure of TlPtRh2, computed with PBEsol.

The structure belongs to space group Immm (No. 71); the cell edges are 2.840, 4.797 and 9.320 Å and the angles 90.00°, 90.00° and 90.00°. The asymmetric unit holds Tl at (0.000, 0.000, 0.000), Pt at (0.000, 0.000, 0.500) and Rh at (0.000, 0.500, 0.245).

The calculation puts the total magnetization at 0.0 μB per formula unit.

---

Relative calculated energies, zero for the most stable structure, unit meV per atom: *A* 0; *B* 114; *C* 120.

---

*A*
A relaxed structure of PtRhW2, computed with PBEsol.

The structure belongs to space group P4mm (No. 99); the cell edges are 2.736, 2.736 and 7.979 Å and the angles 90.00°, 90.00° and 90.00°. The asymmetric unit holds Pt at (0.000, 0.000, 0.000), Rh at (0.500, 0.500, 0.259), W at (0.000, 0.000, 0.487) and W at (0.500, 0.500, 0.759).

The calculation puts the total magnetization at 0.0 μB per formula unit.

---

*B*
A relaxed structure of PtRhW2, computed with PBEsol.

The structure belongs to space group Cmmm (No. 65); the cell edges are 5.411, 8.039 and 2.709 Å and the angles 90.00°, 90.00° and 90.00°. The asymmetric unit holds Pt at (0.000, 0.000, 0.000), Rh at (0.000, 0.500, 0.000) and W at (0.250, 0.250, 0.500).

The calculation puts the total magnetization at 0.0 μB per formula unit.

---

*C*
A relaxed structure of PtRhW2, computed with PBEsol.

The structure belongs to space group Pmm2 (No. 25); the cell edges are 2.728, 4.438 and 4.862 Å and the angles 90.00°, 90.00° and 90.00°. The asymmetric unit holds Pt at (0.000, 0.000, 0.000), Rh at (0.000, 0.500, 0.663), W at (0.500, 0.000, 0.502) and W at (0.500, 0.500, 0.166).

The calculation puts the total magnetization at 0.0 μB per formula unit.

---

Relative calculated energies, zero for the most stable structure, unit meV per atom: *A* 93; *B* 44; *C* 0.

---

*A*
A relaxed structure of PtRhW2, computed with PBEsol.

The structure belongs to space group Fm-3m (No. 225); the cell edges are 6.244, 6.244 and 6.244 Å and the angles 90.00°, 90.00° and 90.00°. The asymmetric unit holds Pt at (0.000, 0.000, 0.000), Rh at (0.000, 0.000, 0.500) and W at (0.250, 0.250, 0.250).

The calculation puts the total magnetization at 0.0 μB per formula unit.

---

*B*
A relaxed structure of PtRhW2, computed with PBEsol.

The structure belongs to space group Cm (No. 8); the cell edges are 9.078, 2.733 and 4.864 Å and the angles 90.00°, 99.77° and 90.00°. The asymmetric unit holds Pt at (0.000, 0.000, 0.000), Rh at (0.256, 0.500, 0.276), W at (0.002, 0.500, 0.488) and W at (0.251, 0.000, 0.778).

The calculation puts the total magnetization at 0.0 μB per formula unit.

---

*C*
A relaxed structure of PtRhW2, computed with PBEsol.

The structure belongs to space group P4/mmm (No. 123); the cell edges are 2.711, 2.711 and 8.018 Å and the angles 90.00°, 90.00° and 90.00°. The asymmetric unit holds Pt at (0.000, 0.000, 0.000), Rh at (0.000, 0.000, 0.500) and W at (0.500, 0.500, 0.257).

The calculation puts the total magnetization at 0.0 μB per formula unit.

---

*D*
A relaxed structure of PtRhW2, computed with PBEsol.

The structure belongs to space group I4/mmm (No. 139); the cell edges are 3.831, 3.831 and 8.025 Å and the angles 90.00°, 90.00° and 90.00°. The asymmetric unit holds Pt at (0.000, 0.000, 0.000), Rh at (0.000, 0.000, 0.500) and W at (0.000, 0.500, 0.250).

The calculation puts the total magnetization at 0.0 μB per formula unit.

---

Relative calculated energies, zero for the most stable structure, unit meV per atom: *A* 613; *B* 74; *C* 20; *D* 0.

---

*A*
A relaxed structure of ZnPtRh, computed with PBEsol.

The structure belongs to space group F-43m (No. 216); the cell edges are 5.724, 5.724 and 5.724 Å and the angles 90.00°, 90.00° and 90.00°. The asymmetric unit holds Zn at (0.000, 0.000, 0.000), Pt at (0.250, 0.250, 0.750) and Rh at (0.250, 0.250, 0.250).

The calculation puts the total magnetization at 0.0 μB per formula unit.

---

*B*
A relaxed structure of ZnPtRh, computed with PBEsol.

The structure belongs to space group I4mm (No. 107); the cell edges are 2.737, 2.737 and 11.066 Å and the angles 90.00°, 90.00° and 90.00°. The asymmetric unit holds Zn at (0.000, 0.000, 0.000), Pt at (0.000, 0.000, 0.666) and Rh at (0.000, 0.000, 0.340).

The calculation puts the total magnetization at 0.0 μB per formula unit.

---

Relative calculated energies, zero for the most stable structure, unit meV per atom: *A* 417; *B* 0.

---

*A*
A relaxed structure of Ru2PtSe, computed with PBEsol.

The structure belongs to space group Pmmm (No. 47); the cell edges are 2.771, 4.581 and 4.641 Å and the angles 90.00°, 90.00° and 90.00°. The asymmetric unit holds Ru at (0.000, 0.000, 0.000), Ru at (0.500, 0.000, 0.500), Pt at (0.000, 0.500, 0.500) and Se at (0.500, 0.500, 0.000).

The calculation puts the total magnetization at 0.0 μB per formula unit.

---

*B*
A relaxed structure of Ru2PtSe, computed with PBEsol.

The structure belongs to space group Cmmm (No. 65); the cell edges are 5.808, 6.966 and 2.848 Å and the angles 90.00°, 90.00° and 90.00°. The asymmetric unit holds Ru at (0.250, 0.250, 0.000), Pt at (0.000, 0.000, 0.500) and Se at (0.000, 0.500, 0.500).

The calculation puts the total magnetization at 0.0 μB per formula unit.

---

Relative calculated energies, zero for the most stable structure, unit meV per atom: *A* 187; *B* 0.

---

*A*
A relaxed structure of RuPtSe, computed with PBEsol.

The structure belongs to space group I4mm (No. 107); the cell edges are 2.880, 2.880 and 11.141 Å and the angles 90.00°, 90.00° and 90.00°. The asymmetric unit holds Ru at (0.000, 0.000, 0.000), Pt at (0.000, 0.000, 0.332) and Se at (0.000, 0.000, 0.631).

The calculation puts the total magnetization at 0.0 μB per formula unit.

---

*B*
A relaxed structure of RuPtSe, computed with PBEsol.

The structure belongs to space group F-43m (No. 216); the cell edges are 5.928, 5.928 and 5.928 Å and the angles 90.00°, 90.00° and 90.00°. The asymmetric unit holds Ru at (0.000, 0.000, 0.000), Pt at (0.250, 0.250, 0.250) and Se at (0.250, 0.250, 0.750).

The calculation puts the total magnetization at 0.0 μB per formula unit.

---

Relative calculated energies, zero for the most stable structure, unit meV per atom: *A* 0; *B* 99.

---

*A*
A relaxed structure of SrRuPt2, computed with PBEsol.

The structure belongs to space group Pmm2 (No. 25); the cell edges are 2.818, 3.967 and 6.582 Å and the angles 90.00°, 90.00° and 90.00°. The asymmetric unit holds Sr at (0.000, 0.000, 0.000), Ru at (0.500, 0.500, 0.673), Pt at (0.000, 0.000, 0.523) and Pt at (0.500, 0.500, 0.283).

The calculation puts the total magnetization at 0.3 μB per formula unit.

---

*B*
A relaxed structure of SrRuPt2, computed with PBEsol.

The structure belongs to space group P4/mmm (No. 123); the cell edges are 3.227, 3.227 and 7.144 Å and the angles 90.00°, 90.00° and 90.00°. The asymmetric unit holds Sr at (0.000, 0.000, 0.000), Ru at (0.000, 0.000, 0.500) and Pt at (0.500, 0.500, 0.309).

The calculation puts the total magnetization at 0.0 μB per formula unit.

---

Relative calculated energies, zero for the most stable structure, unit meV per atom: *A* 82; *B* 0.